Material: Mn4As
Method: DFT, GGA-PBE
State: optimized geometry

```
data_Mn4As
_chemical_formula_sum 'Mn8 As2'
_cell_length_a 5.4818
_cell_length_b 5.4818
_cell_length_c 5.4818
_cell_angle_alpha 90.00
_cell_angle_beta 90.00
_cell_angle_gamma 90.00
_space_group_name_H-M_alt 'I m -3 m'
_space_group_IT_number 229
_space_group_name_Hall '-I 4 2 3'
loop_
_atom_site_label
_atom_site_type_symbol
_atom_site_fract_x
_atom_site_fract_y
_atom_site_fract_z
Mn1 Mn 0.2500 0.2500 0.2500
As1 As 0.0000 0.0000 0.0000
```

## Properties
ρ ... 5.9 Mg/m³
DFT formation energy ... 3.49 eV/f.u.
D(E_F) ... 13.5 states/eV per cell

Material: Y2HfTcTe
Method: DFT, GGA-PBE
State: optimized geometry

```
data_Y2HfTcTe
_chemical_formula_sum 'Y2 Hf1 Tc1 Te1'
_cell_length_a 5.5551
_cell_length_b 5.5551
_cell_length_c 5.2896
_cell_angle_alpha 90.00
_cell_angle_beta 90.00
_cell_angle_gamma 90.00
_space_group_name_H-M_alt 'P 4/m m m'
_space_group_IT_number 123
_space_group_name_Hall '-P 4 2'
loop_
_atom_site_label
_atom_site_type_symbol
_atom_site_fract_x
_atom_site_fract_y
_atom_site_fract_z
Y1 Y 0.0000 0.5000 0.0000
Hf1 Hf 0.0000 0.0000 0.0000
Tc1 Tc 0.5000 0.5000 0.5000
Te1 Te 0.0000 0.0000 0.5000
```

## Properties
ρ ... 5.9 Mg/m³
Energy relative to the elements, uncorrected ... 1.182 eV per atom
D(E_F) ... 6.8 states/eV per cell

Material: Na3In3ReS8
Method: DFT, GGA-PBE
State: optimized geometry

```
data_Na3In3ReS8
_chemical_formula_sum 'Na9 In9 Re3 S24'
_cell_length_a 7.6020
_cell_length_b 7.6020
_cell_length_c 20.2421
_cell_angle_alpha 90.00
_cell_angle_beta 90.00
_cell_angle_gamma 120.00
_space_group_name_H-M_alt 'R -3 m'
_space_group_IT_number 166
_space_group_name_Hall '-R 3 2"'
loop_
_atom_site_label
_atom_site_type_symbol
_atom_site_fract_x
_atom_site_fract_y
_atom_site_fract_z
Na1 Na 0.0000 0.5000 0.0000
In1 In 0.0000 0.5000 0.5000
Re1 Re 0.0000 0.0000 0.5000
S1 S 0.0000 0.0000 0.2401
S2 S 0.0253 0.5126 0.2349
```

## Properties
ρ ... 4.2 Mg/m³
Energy relative to the elements, uncorrected ... -0.708 eV per atom
D(E_F) ... 0.8 states/eV per cell

no.,calculated total energy (eV per atom)
1,-7.57
2,-6.10
3,-4.55